Material: BeFeOs
Method: DFT, GGA-PBE
State: relaxed

- total moment (μB per cell) = 2.0
- calculated formation energy (eV/atom) = 0.104
- energy relative to the lowest polymorph listed for this composition (meV per atom) = 212
- DOS(E_F) (states/eV/cell) = 2.32

Cell lengths 2.643, 2.643, 5.876 Å; angles 90.00, 90.00, 120.00 degrees
Sites, in units of the cell vectors:
Be  0.000  0.000  0.000
Fe  0.667  0.333  0.316
Os  0.333  0.667  0.666